No. 1
Here is crystalline AcHoTm2 at its relaxed geometry from Alexandria. Energies are from GGA-PBE. Values from VASP.

The structure in Quantum ESPRESSO input format:
```
&SYSTEM
  ibrav = 0, nat = 12, ntyp = 3
/
ATOMIC_SPECIES
Ac 227.00 Ac.upf
Ho 164.93 Ho.upf
Tm 168.93 Tm.upf
ATOMIC_POSITIONS angstrom
Ac 0.000 0.000 0.000
Ac 0.000 2.119 23.082
Ac 1.835 1.060 11.541
Ho 0.000 0.000 28.874
Ho 0.000 2.119 17.333
Ho 1.835 1.060 5.792
Tm 0.000 0.000 14.565
Tm 0.000 0.000 20.086
Tm 0.000 2.119 3.025
Tm 0.000 2.119 8.545
Tm 1.835 1.060 26.106
Tm 1.835 1.060 31.627
CELL_PARAMETERS angstrom
3.671 0.000 0.000
-1.835 3.179 0.000
0.000 0.000 34.623
```

Computed properties:
- space group = No. 160
- DOS at the Fermi energy (states/eV/f.u.) = 6.484
- mass density (g cm⁻³) = 9.00
- energy above the most stable polymorph in this dataset (eV/atom) = 0.000
- E_form (eV per atom) = 0.056

=====

No. 2
Here is crystalline AcHo6Tm4 at its relaxed geometry from Alexandria. Energies are from GGA-PBE. Values from VASP.

The structure in Quantum ESPRESSO input format:
```
&SYSTEM
  ibrav = 0, nat = 22, ntyp = 3
/
ATOMIC_SPECIES
Ac 227.00 Ac.upf
Ho 164.93 Ho.upf
Tm 168.93 Tm.upf
ATOMIC_POSITIONS angstrom
Ac 2.855 3.083 19.108
Ac 2.855 -3.083 6.369
Ho 2.855 3.411 4.550
Ho 2.855 3.411 8.189
Ho 2.855 3.094 15.237
Ho 2.855 3.094 22.978
Ho 2.855 0.175 6.369
Ho 2.855 0.000 0.000
Ho 2.855 0.000 12.738
Ho 2.855 -0.175 19.108
Ho 2.855 -3.094 2.499
Ho 2.855 -3.094 10.240
Ho 2.855 -3.411 17.288
Ho 2.855 -3.411 20.927
Tm 2.855 3.300 1.054
Tm 2.855 3.300 11.685
Tm 2.855 0.185 3.107
Tm 2.855 0.185 9.632
Tm 2.855 -0.185 15.845
Tm 2.855 -0.185 22.370
Tm 2.855 -3.300 13.792
Tm 2.855 -3.300 24.423
CELL_PARAMETERS angstrom
2.855 -4.863 0.000
2.855 4.863 0.000
0.000 0.000 25.477
```

Computed properties:
- space group = No. 63
- DOS at the Fermi energy (states/eV/f.u.) = 19.308
- mass density (g cm⁻³) = 8.88
- E_form (eV per atom) = 0.144

=====

No. 3
Here is crystalline Ac2Ho5Tm at its relaxed geometry from Alexandria. Energies are from GGA-PBE. Values from VASP.

The structure in Quantum ESPRESSO input format:
```
&SYSTEM
  ibrav = 0, nat = 16, ntyp = 3
/
ATOMIC_SPECIES
Ac 227.00 Ac.upf
Ho 164.93 Ho.upf
Tm 168.93 Tm.upf
ATOMIC_POSITIONS angstrom
Ac 0.000 0.000 4.154
Ac 0.000 0.000 12.462
Ac 2.886 2.886 4.154
Ac 2.886 2.886 12.462
Ho 0.000 0.000 0.000
Ho 0.000 2.886 1.826
Ho 0.000 2.886 6.482
Ho 0.000 2.886 10.134
Ho 0.000 2.886 14.790
Ho 2.886 0.000 1.826
Ho 2.886 0.000 6.482
Ho 2.886 0.000 10.134
Ho 2.886 0.000 14.790
Ho 2.886 2.886 8.308
Tm 0.000 0.000 8.308
Tm 2.886 2.886 0.000
CELL_PARAMETERS angstrom
5.772 0.000 0.000
0.000 5.772 0.000
0.000 0.000 16.616
```

Computed properties:
- space group = No. 139
- DOS at the Fermi energy (states/eV/f.u.) = 14.090
- mass density (g cm⁻³) = 8.68
- E_form (eV per atom) = 0.109

=====

No. 4
Here is crystalline AcHo7Tm12 at its relaxed geometry from Alexandria. Energies are from GGA-PBE. Values from VASP.

The structure in Quantum ESPRESSO input format:
```
&SYSTEM
  ibrav = 0, nat = 20, ntyp = 3
/
ATOMIC_SPECIES
Ac 227.00 Ac.upf
Ho 164.93 Ho.upf
Tm 168.93 Tm.upf
ATOMIC_POSITIONS angstrom
Ac 0.000 0.000 0.000
Ho -1.984 0.487 3.193
Ho 0.571 -1.962 3.193
Ho 1.414 1.475 3.193
Ho 0.000 0.000 7.835
Ho -1.414 -1.475 12.478
Ho -0.571 1.962 12.478
Ho 1.984 -0.487 12.478
Tm -2.913 -0.816 6.548
Tm -0.748 -3.525 5.994
Tm -2.678 2.410 5.994
Tm -3.427 -1.114 9.676
Tm -0.750 -2.931 9.122
Tm 2.163 -2.115 6.548
Tm -2.163 2.115 9.122
Tm 0.750 2.931 6.548
Tm 3.427 1.114 5.994
Tm 2.678 -2.410 9.676
Tm 0.748 3.525 9.676
Tm 2.913 0.816 9.122
CELL_PARAMETERS angstrom
5.969 3.446 5.223
-5.969 3.446 5.223
0.000 -6.892 5.223
```

Computed properties:
- space group = No. 148
- DOS at the Fermi energy (states/eV/f.u.) = 37.519
- mass density (g cm⁻³) = 8.78
- energy above the most stable polymorph in this dataset (eV/atom) = 0.000
- E_form (eV per atom) = 0.241

=====

No. 5
Here is crystalline AcHoTm3 at its relaxed geometry from Alexandria. Energies are from GGA-PBE. Values from VASP.

The structure in Quantum ESPRESSO input format:
```
&SYSTEM
  ibrav = 0, nat = 10, ntyp = 3
/
ATOMIC_SPECIES
Ac 227.00 Ac.upf
Ho 164.93 Ho.upf
Tm 168.93 Tm.upf
ATOMIC_POSITIONS angstrom
Ac 1.216 2.184 2.263
Ac 6.072 9.721 6.103
Ho 3.643 3.900 7.323
Ho 3.644 8.005 1.044
Tm 1.214 7.251 3.249
Tm 1.215 5.512 0.388
Tm 3.643 6.960 5.615
Tm 3.644 4.946 2.752
Tm 6.073 6.394 7.979
Tm 6.074 4.655 5.117
CELL_PARAMETERS angstrom
4.859 0.000 0.000
0.000 8.533 0.000
2.428 3.372 8.367
```

Computed properties:
- space group = No. 2
- DOS at the Fermi energy (states/eV/f.u.) = 8.128
- mass density (g cm⁻³) = 8.60
- E_form (eV per atom) = 0.164

=====

No. 6
Here is crystalline AcHoTm4 at its relaxed geometry from Alexandria. Energies are from GGA-PBE. Values from VASP.

The structure in Quantum ESPRESSO input format:
```
&SYSTEM
  ibrav = 0, nat = 6, ntyp = 3
/
ATOMIC_SPECIES
Ac 227.00 Ac.upf
Ho 164.93 Ho.upf
Tm 168.93 Tm.upf
ATOMIC_POSITIONS angstrom
Ac 0.000 0.000 0.000
Ho 0.000 2.828 4.882
Tm 1.762 0.000 3.315
Tm 1.762 0.000 6.448
Tm 1.762 2.828 1.708
Tm 1.762 2.828 8.055
CELL_PARAMETERS angstrom
3.525 0.000 0.000
0.000 5.656 0.000
0.000 0.000 9.763
```

Computed properties:
- space group = No. 47
- DOS at the Fermi energy (states/eV/f.u.) = 10.857
- mass density (g cm⁻³) = 9.11
- E_form (eV per atom) = 0.100